Record 1
The following is a PBE-GGA calculation of crystalline ZrMnMo2 at its relaxed geometry, from Alexandria.

a = 4.735 Å, b = 3.751 Å, c = 3.751 Å
α = 90.00°, β = 90.00°, γ = 90.00°
Fractional coordinates of all 4 atoms:
Mn1 0.500 0.000 0.500
Zr1 0.500 0.500 0.000
Mo1 0.000 0.500 0.500
Mo2 0.000 0.000 0.000

## Properties
Energy of formation from the pure elements ... 210 meV/atom
Raw total energy ... -9.635 eV per atom
Polymorph energy (0 for the lowest one) ... 186 meV/atom

***

Record 2
The following is a PBE-GGA calculation of crystalline Zr2MnMo3 at its relaxed geometry, from Alexandria.

a = 5.331 Å, b = 5.331 Å, c = 5.257 Å
α = 89.99°, β = 120.41°, γ = 120.07°
Fractional coordinates of all 6 atoms:
Mn1 0.000 0.000 0.000
Zr1 0.252 0.626 0.878
Zr2 0.748 0.374 0.122
Mo1 0.000 0.000 0.500
Mo2 0.500 0.500 0.500
Mo3 0.500 0.000 0.500

## Properties
Energy of formation from the pure elements ... -125 meV/atom
Raw total energy ... -9.918 eV per atom

***

Record 3
The following is a PBE-GGA calculation of crystalline ZrMnMo2 at its relaxed geometry, from Alexandria.

a = 9.084 Å, b = 9.084 Å, c = 9.084 Å
α = 18.57°, β = 18.57°, γ = 18.57°
Fractional coordinates of all 4 atoms:
Zr1 0.250 0.250 0.250
Mo1 0.489 0.489 0.489
Mo2 0.011 0.011 0.011
Mn1 0.750 0.750 0.750

## Properties
Energy of formation from the pure elements ... 389 meV/atom
Raw total energy ... -9.456 eV per atom
Polymorph energy (0 for the lowest one) ... 365 meV/atom